Below is a relaxed structure of TiBe17Rh, with properties calculated at the GGA-PBE level.

abc: 5.5078 5.5078 5.5078
angles: 82.80 82.80 82.80
Closest atoms and distances in Å follow each position.
Positions (direct):
Ti 0.6613 0.6613 0.6613  19 Be 2.57-2.78
Be 0.2976 0.0039 0.6978  8 Be 2.09-2.24
Be 0.6978 0.2976 0.0039  8 Be 2.09-2.24
Be 0.0039 0.6978 0.2976  8 Be 2.09-2.24
Be 0.2976 0.6978 0.0039  8 Be 2.09-2.24
Be 0.0039 0.2976 0.6978  8 Be 2.09-2.24
Be 0.6978 0.0039 0.2976  8 Be 2.09-2.24
Be 0.3465 0.8566 0.3465  9 Be 2.11-2.24
Be 0.3465 0.3465 0.8566  9 Be 2.11-2.24
Be 0.8566 0.3465 0.3465  9 Be 2.11-2.24
Be 0.6490 0.1681 0.6490  9 Be 2.11-2.34
Be 0.6490 0.6490 0.1681  9 Be 2.11-2.34
Be 0.1681 0.6490 0.6490  9 Be 2.11-2.34
Be 0.9897 0.5088 0.9897  10 Be 2.09-2.28
Be 0.9897 0.9897 0.5088  10 Be 2.09-2.28
Be 0.5088 0.9897 0.9897  10 Be 2.09-2.28
Be 0.9019 0.9019 0.9019  7 Be 2.13-2.34
Be 0.1015 0.1015 0.1015  7 Be 2.13-2.28
Rh 0.3329 0.3329 0.3329  13 Be 2.47-2.62

Properties
As for the total magnetization: 0.00 Bohr magnetons per cell. The space-group type is R3m. The calculation puts the total energy at -0.15963 hartree per atom.

Below is a relaxed structure of Ti3Be8Rh, with properties calculated at the GGA-PBE level.

abc: 4.4637 4.4637 7.7682
angles: 73.30 73.30 60.00
Closest atoms and distances in Å follow each position.
Positions (direct):
Ti 0.3756 0.3756 0.8732  12 Be 2.62-2.67, 4 Ti 2.75-2.76
Ti 0.9984 0.9984 0.0047  12 Be 2.62-2.69, 1 Rh 2.71, 3 Ti 2.75
Ti 0.5012 0.5012 0.4965  12 Be 2.58-2.62, 3 Rh 2.73, 1 Ti 2.76
Be 0.9351 0.4366 0.1916  6 Be 2.21-2.24
Be 0.4392 0.9388 0.6832  6 Be 2.22-2.28
Be 0.4366 0.4366 0.1916  6 Be 2.21-2.24
Be 0.9388 0.9388 0.6832  6 Be 2.22-2.28
Be 0.1880 0.1880 0.4360  6 Be 2.21-2.22
Be 0.6865 0.6865 0.9406  6 Be 2.24-2.28
Be 0.4366 0.9351 0.1916  6 Be 2.21-2.24
Be 0.9388 0.4392 0.6832  6 Be 2.22-2.28
Rh 0.8752 0.8752 0.3745  12 Be 2.60-2.62, 4 Ti 2.71-2.73

Properties
As for the total magnetization: 2.57 Bohr magnetons per cell. The space-group type is R3m. The calculation puts the total energy at -0.19968 hartree per atom.

Below is a relaxed structure of Ti5BeRh6, with properties calculated at the GGA-PBE level.

abc: 4.1808 7.3581 7.3581
angles: 115.85 106.51 106.51
Closest atoms and distances in Å follow each position.
Positions (direct):
Be 0.0000 0.0000 0.0000  8 Rh 2.58
Rh 0.2361 0.0709 0.4013  1 Be 2.58, 7 Ti 2.61-2.72
Rh 0.7639 0.5987 0.9291  1 Be 2.58, 7 Ti 2.61-2.72
Rh 0.7282 0.2282 0.2282  6 Ti 2.57-2.75, 2 Be 2.58
Rh 0.2718 0.7718 0.7718  6 Ti 2.57-2.75, 2 Be 2.58
Rh 0.2361 0.4013 0.0709  1 Be 2.58, 7 Ti 2.61-2.72
Rh 0.7639 0.9291 0.5987  1 Be 2.58, 7 Ti 2.61-2.72
Ti 0.5000 0.1670 0.8330  8 Rh 2.57-2.72
Ti 0.0000 0.3418 0.6582  8 Rh 2.67-2.72, 2 Ti 2.87
Ti 0.5000 0.5000 0.5000  8 Rh 2.70-2.75, 4 Ti 2.87
Ti 0.0000 0.6582 0.3418  8 Rh 2.67-2.72, 2 Ti 2.87
Ti 0.5000 0.8330 0.1670  8 Rh 2.57-2.72

Properties
As for the total magnetization: 0.00 Bohr magnetons per cell. The space-group type is Immm. The calculation puts the total energy at -0.29472 hartree per atom.

Number 1: energy of formation from the pure elements -207 meV per atom. Number 2: energy of formation from the pure elements -363 meV per atom. Number 3: energy of formation from the pure elements -744 meV per atom.